8
Lattice="4.4587 0.0000 0.0000 0.0000 7.6963 0.1305 0.0000 -2.6929 7.2337" Properties=species:S:1:pos:R:3 comment="CeHo2ScBi4 | the Alexandria database | GGA-PBE | relaxed" dos_at_fermi_per_ev_cell=7.23 formation_enthalpy_0k_ev_per_fu=-6.11 pbc="T T T"
Bi 2.2294 1.3214 1.8481
Ce 0.0000 0.0000 0.0000
Ho 2.2294 -1.3464 3.6169
Bi 0.0000 5.0317 1.8595
Ho 0.0000 2.5017 3.6821
Sc 2.2294 3.8481 0.0653
Bi 2.2294 3.6820 5.5162
Bi 0.0000 -0.0284 5.5048